Computed, not measured: a geometry-optimized LaPIrS2 structure at the PBEsol level of DFT. Values from VASP.

Cell and atoms, written as Quantum ESPRESSO input:
```
&SYSTEM
  ibrav = 0, nat = 5, ntyp = 4
/
ATOMIC_SPECIES
P 30.97 P.upf
S 32.06 S.upf
La 138.91 La.upf
Ir 192.22 Ir.upf
ATOMIC_POSITIONS crystal
P 0.5000 0.0000 0.0000
S 0.0000 0.0000 0.5000
S 0.0000 0.5000 0.0000
La 0.5000 0.5000 0.5000
Ir 0.0000 0.0000 0.0000
CELL_PARAMETERS angstrom
4.3523 0.0000 0.0000
0.0000 4.8439 0.0000
0.0000 0.0000 4.8439
```

Computed properties:
The formation energy (no corrections) comes out at -0.6863 eV/atom. The density of states at the Fermi level comes out at 1.74 states/eV/cell. The space group is P4/mmm, No. 123. The size of the total moment is 0.00 μB/atom. The calculated total energy is -33.16 eV/f.u.